The following is a PBE-GGA calculation of a relaxed structure of MgReBr, from the Alexandria database.

## Properties
The calculation puts the total magnetization at 0.0 μB per formula unit. The formation energy from raw total energies comes out at 2.43 eV per formula unit. As for the polymorph energy (0 for the lowest one): 3.139 eV per formula unit.

Structure (extended XYZ):
```
3
Lattice="-2.996 3.486 -0.210 0.235 -3.042 -3.444 -2.019 -1.655 1.325" Properties=species:S:1:pos:R:3 pbc="T T T"
Mg -2.593 0.757 -0.846
Br -1.682 -1.379 1.103
Re -2.524 -2.245 -1.262
```